(1)
Below is a geometry-optimized CuSn2Pd structure, with properties calculated at the GGA-PBE level.

Geometry as POSCAR:
```
CuSn2Pd
1.0
-1.178 -3.033 0.918
2.378 -0.199 2.395
-4.175 2.950 4.389
Cu Sn Pd
1 2 1
Cartesian
0.600 -1.616 1.657 Cu
-3.139 2.218 3.300 Sn
-1.036 0.732 1.089 Sn
-1.488 -0.141 3.851 Pd
```

Values from the calculation:
Magnetization (μB per formula unit): 0.00
E_tot (eV per atom): -4.427
Calculated volume (Å³ per cell): 77.0
Excess energy over the best structure of this formula in the dataset (eV per atom): 0.139
N(E_F) (states/eV per cell): 1.1
Energy of formation (eV per atom): -0.10

(2)
Below is a geometry-optimized Be2SiTc2 structure, with properties calculated at the GGA-PBE level.

Geometry as POSCAR:
```
Be2SiTc2
1.0
5.865 0.000 0.000
0.000 5.865 0.000
0.000 0.000 3.168
Be Si Tc
4 2 4
Cartesian
2.226 5.159 0.000 Be
5.159 3.639 0.000 Be
3.639 0.706 0.000 Be
0.706 2.226 0.000 Be
0.000 0.000 0.000 Si
2.932 2.932 0.000 Si
1.048 3.981 1.584 Tc
3.981 4.817 1.584 Tc
4.817 1.884 1.584 Tc
1.884 1.048 1.584 Tc
```

Values from the calculation:
Magnetization (μB per formula unit): 0.00
E_tot (eV per atom): -7.185
Formation energy from raw total energies (eV/atom): -0.4632
Calculated volume (Å³ per cell): 109.0
Excess energy over the best structure of this formula in the dataset (eV per atom): 0.000
N(E_F) (states/eV per cell): 0.7

(3)
Below is a geometry-optimized TiVReTc structure, with properties calculated at the GGA-PBE level.

Geometry as POSCAR:
```
TiVReTc
1.0
-2.624 1.053 3.293
-3.373 -2.547 0.987
0.049 -2.348 3.650
Re Ti Tc V
1 1 1 1
Cartesian
-1.487 -0.961 1.983 Re
-2.974 -1.921 3.965 Ti
-4.462 -2.882 5.948 Tc
0.000 0.000 0.000 V
```

Values from the calculation:
Magnetization (μB per formula unit): 0.00
E_tot (eV per atom): -10.379
Calculated volume (Å³ per cell): 57.8
Excess energy over the best structure of this formula in the dataset (eV per atom): 0.003
N(E_F) (states/eV per cell): 2.3
Energy of formation (eV per atom): -0.42

For the records above, the corresponding density values read 8782 7379 10999 kg/m³.